PrNd3In2 | PBE-GGA | optimized geometry

Structure (POSCAR):
```
PrNd3In2
1.0
8.478 -2.741 0.000
8.478 2.741 0.000
-4.847 0.000 8.206
Pr Nd In
2 6 4
direct
0.129 0.129 0.173 Pr
0.871 0.871 0.827 Pr
0.059 0.059 0.714 Nd
0.306 0.306 0.999 Nd
0.382 0.382 0.453 Nd
0.618 0.618 0.547 Nd
0.694 0.694 0.001 Nd
0.941 0.941 0.286 Nd
0.230 0.230 0.591 In
0.480 0.480 0.834 In
0.520 0.520 0.166 In
0.770 0.770 0.409 In
```

Values from the calculation:
Relative energy among the computed polymorphs in meV/atom: 98.2
SG: No. 12
N(E_F) in states/eV/f.u.: 6.6